(1)
First-principles (PBE-GGA) data for CuRuO3 after structural relaxation, as listed in Alexandria via LeMat-Bulk.

a = 3.631 Å, b = 5.486 Å, c = 6.109 Å
α = 98.14°, β = 89.99°, γ = 109.32°
Fractional positions:
Cu  0.374  0.748  0.585
Cu  0.626  0.252  0.415
Ru  0.128  0.256  0.893
Ru  0.872  0.744  0.107
O  0.942  0.884  0.795
O  0.058  0.116  0.205
O  0.674  0.348  0.957
O  0.326  0.652  0.043
O  0.828  0.656  0.399
O  0.172  0.344  0.601

Properties
- Space group: C2/m, No. 12

***

(2)
First-principles (PBE-GGA) data for CuRuO2 after structural relaxation, as listed in Alexandria via LeMat-Bulk.

a = 3.788 Å, b = 3.788 Å, c = 3.788 Å
α = 60.00°, β = 60.00°, γ = 60.00°
Fractional positions:
Ru  0.500  0.500  0.500
O  0.250  0.250  0.250
O  0.750  0.750  0.750
Cu  0.000  0.000  0.000

Properties
- Space group: Fm-3m, No. 225

***

(3)
First-principles (PBE-GGA) data for CuRu2O8 after structural relaxation, as listed in Alexandria via LeMat-Bulk.

a = 5.183 Å, b = 6.206 Å, c = 6.206 Å
α = 85.36°, β = 82.28°, γ = 82.28°
Fractional positions:
Cu  0.000  0.000  0.000
Ru  0.595  0.774  0.774
Ru  0.405  0.226  0.226
O  0.275  0.982  0.302
O  0.275  0.302  0.982
O  0.725  0.018  0.698
O  0.293  0.415  0.415
O  0.725  0.698  0.018
O  0.247  0.828  0.828
O  0.753  0.172  0.172
O  0.707  0.585  0.585

Properties
- Space group: C2/m, No. 12

***

(4)
First-principles (PBE-GGA) data for Cu2RuO6 after structural relaxation, as listed in Alexandria via LeMat-Bulk.

a = 3.404 Å, b = 5.222 Å, c = 7.580 Å
α = 62.99°, β = 77.02°, γ = 70.98°
Fractional positions:
Cu  0.216  0.720  0.847
Cu  0.784  0.280  0.153
Ru  0.000  0.500  0.500
O  0.690  0.681  0.938
O  0.310  0.319  0.062
O  0.916  0.864  0.305
O  0.389  0.605  0.617
O  0.084  0.136  0.695
O  0.611  0.395  0.383

Properties
- Space group: C2/m, No. 12

***

(5)
First-principles (PBE-GGA) data for CuRuO2 after structural relaxation, as listed in Alexandria via LeMat-Bulk.

a = 4.752 Å, b = 4.752 Å, c = 5.517 Å
α = 64.49°, β = 64.49°, γ = 90.00°
Fractional positions:
Ru  0.000  0.000  0.000
Ru  0.750  0.250  0.500
O  0.628  0.125  0.250
O  0.122  0.625  0.250
O  0.375  0.372  0.750
O  0.875  0.878  0.750
Cu  0.500  0.500  0.000
Cu  0.250  0.750  0.500

Properties
- Space group: I-42d, No. 122

***

(6)
First-principles (PBE-GGA) data for Cu2RuO2 after structural relaxation, as listed in Alexandria via LeMat-Bulk.

a = 3.816 Å, b = 3.816 Å, c = 4.775 Å
α = 66.45°, β = 66.45°, γ = 90.00°
Fractional positions:
Ru  0.000  0.000  0.000
O  0.750  0.250  0.500
O  0.250  0.750  0.500
Cu  0.344  0.344  0.313
Cu  0.656  0.656  0.687

Properties
- Energy relative to the lowest polymorph listed for this composition: 0.0000 eV/atom
- Space group: I4/mmm, No. 139

***

(7)
First-principles (PBE-GGA) data for CuRuO3 after structural relaxation, as listed in Alexandria via LeMat-Bulk.

a = 3.728 Å, b = 3.728 Å, c = 3.728 Å
α = 90.00°, β = 90.00°, γ = 90.00°
Fractional positions:
Ru  0.500  0.500  0.500
O  0.000  0.500  0.000
O  0.000  0.000  0.500
O  0.500  0.000  0.000
Cu  0.000  0.000  0.000

Properties
- Space group: Pm-3m, No. 221

***

(8)
First-principles (PBE-GGA) data for CuRuO after structural relaxation, as listed in Alexandria via LeMat-Bulk.

a = 4.111 Å, b = 2.757 Å, c = 10.630 Å
α = 105.09°, β = 140.71°, γ = 89.98°
Fractional positions:
Ru  0.916  0.583  0.833
Ru  0.084  0.417  0.167
Cu  0.819  0.285  0.535
Cu  0.181  0.715  0.465
O  0.579  0.664  0.914
O  0.421  0.336  0.086

Properties
- Space group: P2_1/m, No. 11

***

(9)
First-principles (PBE-GGA) data for Cu2RuO5 after structural relaxation, as listed in Alexandria via LeMat-Bulk.

a = 5.199 Å, b = 7.310 Å, c = 7.311 Å
α = 63.37°, β = 47.94°, γ = 47.95°
Fractional positions:
Cu  0.597  0.540  0.039
Cu  0.597  0.039  0.540
Ru  0.926  0.031  0.031
O  0.615  0.265  0.265
O  0.065  0.265  0.810
O  0.065  0.810  0.265
O  0.511  0.809  0.809
O  0.625  0.019  0.019

Properties
- Space group: Cm, No. 8

***

(10)
First-principles (PBE-GGA) data for Cu3Ru4O12 after structural relaxation, as listed in Alexandria via LeMat-Bulk.

a = 6.408 Å, b = 6.408 Å, c = 6.408 Å
α = 109.47°, β = 109.47°, γ = 109.47°
Fractional positions:
Cu  0.500  0.000  0.500
Cu  0.500  0.500  0.000
Cu  0.000  0.500  0.500
Ru  0.000  0.000  0.500
Ru  0.500  0.500  0.500
Ru  0.500  0.000  0.000
Ru  0.000  0.500  0.000
O  0.686  0.508  0.822
O  0.314  0.492  0.178
O  0.314  0.136  0.822
O  0.508  0.822  0.686
O  0.822  0.314  0.136
O  0.178  0.314  0.492
O  0.136  0.822  0.314
O  0.178  0.686  0.864
O  0.686  0.864  0.178
O  0.492  0.178  0.314
O  0.822  0.686  0.508
O  0.864  0.178  0.686

Properties
- Space group: Im-3, No. 204

***

(11)
First-principles (PBE-GGA) data for CuRuO3 after structural relaxation, as listed in Alexandria via LeMat-Bulk.

a = 3.095 Å, b = 5.334 Å, c = 7.303 Å
α = 90.00°, β = 90.00°, γ = 73.03°
Fractional positions:
Cu  0.740  0.523  0.000
Cu  0.260  0.477  0.500
Ru  0.000  0.000  0.750
Ru  0.000  0.000  0.250
O  0.616  0.769  0.809
O  0.384  0.231  0.309
O  0.616  0.769  0.191
O  0.384  0.231  0.691
O  0.924  0.152  0.000
O  0.076  0.848  0.500

Properties
- Space group: P2_1/m, No. 11

***

(12)
First-principles (PBE-GGA) data for CuRuO3 after structural relaxation, as listed in Alexandria via LeMat-Bulk.

a = 3.814 Å, b = 3.814 Å, c = 3.814 Å
α = 90.00°, β = 90.00°, γ = 90.00°
Fractional positions:
Ru  0.000  0.000  0.000
O  0.000  0.500  0.000
O  0.000  0.000  0.500
O  0.500  0.000  0.000
Cu  0.500  0.500  0.500

Properties
- Space group: Pm-3m, No. 221

***

(13)
First-principles (PBE-GGA) data for CuRu2O6 after structural relaxation, as listed in Alexandria via LeMat-Bulk.

a = 4.354 Å, b = 8.596 Å, c = 8.596 Å
α = 120.00°, β = 90.00°, γ = 90.00°
Fractional positions:
Cu  0.500  0.333  0.667
Cu  0.000  0.000  0.000
Cu  0.500  0.667  0.333
Ru  0.000  0.653  0.653
Ru  0.500  0.319  0.319
Ru  0.000  0.000  0.347
Ru  0.500  0.681  0.000
Ru  0.500  0.000  0.681
Ru  0.000  0.347  0.000
O  0.242  0.772  0.882
O  0.745  0.562  0.775
O  0.253  0.438  0.542
O  0.253  0.458  0.896
O  0.745  0.213  0.438
O  0.242  0.110  0.228
O  0.745  0.225  0.787
O  0.758  0.890  0.118
O  0.253  0.104  0.562
O  0.242  0.118  0.890
O  0.255  0.787  0.225
O  0.747  0.896  0.458
O  0.747  0.562  0.104
O  0.255  0.775  0.562
O  0.758  0.882  0.772
O  0.255  0.438  0.213
O  0.747  0.542  0.438
O  0.758  0.228  0.110

Properties
- Space group: P321, No. 150

***

(14)
First-principles (PBE-GGA) data for Cu3RuO6 after structural relaxation, as listed in Alexandria via LeMat-Bulk.

a = 5.963 Å, b = 5.963 Å, c = 5.963 Å
α = 95.51°, β = 95.51°, γ = 95.51°
Fractional positions:
Cu  0.412  0.961  0.734
Cu  0.961  0.734  0.412
Cu  0.266  0.588  0.039
Cu  0.734  0.412  0.961
Cu  0.039  0.266  0.588
Cu  0.588  0.039  0.266
Ru  0.000  0.000  0.000
Ru  0.500  0.500  0.500
O  0.297  0.915  0.121
O  0.085  0.879  0.703
O  0.653  0.792  0.441
O  0.879  0.703  0.085
O  0.441  0.653  0.792
O  0.208  0.559  0.347
O  0.792  0.441  0.653
O  0.559  0.347  0.208
O  0.121  0.297  0.915
O  0.347  0.208  0.559
O  0.915  0.121  0.297
O  0.703  0.085  0.879

Properties
- Space group: R-3, No. 148

***

(15)
First-principles (PBE-GGA) data for CuRu3O after structural relaxation, as listed in Alexandria via LeMat-Bulk.

a = 4.025 Å, b = 4.025 Å, c = 4.025 Å
α = 90.00°, β = 90.00°, γ = 90.00°
Fractional positions:
Ru  0.000  0.500  0.000
Ru  0.000  0.000  0.500
Ru  0.500  0.000  0.000
O  0.000  0.000  0.000
Cu  0.500  0.500  0.500

Properties
- Energy relative to the lowest polymorph listed for this composition: 0.0000 eV/atom
- Space group: Pm-3m, No. 221

***

(16)
First-principles (PBE-GGA) data for CuSbRuO6 after structural relaxation, as listed in Alexandria via LeMat-Bulk.

a = 5.190 Å, b = 5.190 Å, c = 8.887 Å
α = 90.00°, β = 90.00°, γ = 120.00°
Fractional positions:
Cu  0.000  0.000  0.000
Cu  0.000  0.000  0.500
Sb  0.667  0.333  0.250
Sb  0.333  0.667  0.750
Ru  0.333  0.667  0.250
Ru  0.667  0.333  0.750
O  0.643  0.651  0.129
O  0.008  0.357  0.129
O  0.357  0.008  0.629
O  0.992  0.643  0.871
O  0.349  0.357  0.371
O  0.008  0.651  0.371
O  0.651  0.008  0.871
O  0.643  0.992  0.371
O  0.992  0.349  0.629
O  0.349  0.992  0.129
O  0.651  0.643  0.629
O  0.357  0.349  0.871

Properties
- Space group: P-31c, No. 163

***

(17)
First-principles (PBE-GGA) data for CuSnRuO6 after structural relaxation, as listed in Alexandria via LeMat-Bulk.

a = 5.227 Å, b = 5.227 Å, c = 8.703 Å
α = 90.00°, β = 90.00°, γ = 120.00°
Fractional positions:
Cu  0.000  0.000  0.000
Cu  0.000  0.000  0.500
Sn  0.667  0.333  0.250
Sn  0.333  0.667  0.750
Ru  0.333  0.667  0.250
Ru  0.667  0.333  0.750
O  0.640  0.660  0.126
O  0.021  0.360  0.126
O  0.360  0.021  0.626
O  0.979  0.640  0.874
O  0.340  0.360  0.374
O  0.021  0.660  0.374
O  0.660  0.021  0.874
O  0.640  0.979  0.374
O  0.979  0.340  0.626
O  0.340  0.979  0.126
O  0.660  0.640  0.626
O  0.360  0.340  0.874

Properties
- Space group: P-31c, No. 163

***

(18)
First-principles (PBE-GGA) data for SrCuRuO5 after structural relaxation, as listed in Alexandria via LeMat-Bulk.

a = 5.738 Å, b = 5.738 Å, c = 7.315 Å
α = 101.90°, β = 101.90°, γ = 110.04°
Fractional positions:
Sr  0.337  0.663  0.250
Sr  0.663  0.337  0.750
Cu  0.686  0.314  0.250
Cu  0.314  0.686  0.750
Ru  0.000  0.000  0.500
Ru  0.000  0.000  0.000
O  0.067  0.933  0.250
O  0.933  0.067  0.750
O  0.906  0.283  0.096
O  0.094  0.717  0.904
O  0.717  0.094  0.404
O  0.283  0.906  0.596
O  0.756  0.644  0.431
O  0.244  0.356  0.569
O  0.356  0.244  0.069
O  0.644  0.756  0.931

Properties
- Space group: C2/c, No. 15

***

(19)
First-principles (PBE-GGA) data for Sr3Cu2RuO6 after structural relaxation, as listed in Alexandria via LeMat-Bulk.

a = 5.721 Å, b = 5.721 Å, c = 6.395 Å
α = 90.00°, β = 90.00°, γ = 120.00°
Fractional positions:
Sr  0.333  0.667  0.630
Sr  0.667  0.333  0.370
Sr  0.000  0.000  0.000
Cu  0.667  0.333  0.846
Cu  0.333  0.667  0.154
Ru  0.000  0.000  0.500
O  0.673  0.837  0.315
O  0.163  0.327  0.315
O  0.163  0.837  0.315
O  0.837  0.673  0.685
O  0.327  0.163  0.685
O  0.837  0.163  0.685

Properties
- Space group: P-3m1, No. 164

***

(20)
First-principles (PBE-GGA) data for SrCu3Ru4O12 after structural relaxation, as listed in Alexandria via LeMat-Bulk.

a = 6.510 Å, b = 6.510 Å, c = 6.510 Å
α = 109.47°, β = 109.47°, γ = 109.47°
Fractional positions:
Sr  0.000  0.000  0.000
Cu  0.000  0.500  0.500
Cu  0.500  0.500  0.000
Cu  0.500  0.000  0.500
Ru  0.500  0.500  0.500
Ru  0.500  0.000  0.000
Ru  0.000  0.000  0.500
Ru  0.000  0.500  0.000
O  0.826  0.690  0.515
O  0.485  0.174  0.310
O  0.826  0.310  0.136
O  0.174  0.310  0.485
O  0.690  0.515  0.826
O  0.515  0.826  0.690
O  0.136  0.826  0.310
O  0.310  0.485  0.174
O  0.690  0.864  0.174
O  0.174  0.690  0.864
O  0.864  0.174  0.690
O  0.310  0.136  0.826

Properties
- Space group: Im-3, No. 204

***

| no. | formation energy (no corrections) (meV per atom) |
| --- | --- |
| 1 | -602 |
| 2 | 91 |
| 3 | -585 |
| 4 | -417 |
| 5 | -269 |
| 6 | 365 |
| 7 | 305 |
| 8 | -56 |
| 9 | -631 |
| 10 | -817 |
| 11 | -717 |
| 12 | -300 |
| 13 | -800 |
| 14 | -585 |
| 15 | 396 |
| 16 | -886 |
| 17 | -837 |
| 18 | -1307 |
| 19 | -1540 |
| 20 | -1046 |